P) VASP calculation (PBE-GGA) on a relaxed structure of CuH2Br.

Unit cell a=5.1100 b=5.1100 c=5.3183 alpha=61.29 beta=61.29 gamma=90.00
Element x y z (fractional)
1 H 0.4266 0.1250 0.2500
2 H 0.3234 0.6250 0.2500
3 H 0.3750 0.5734 0.7500
4 H 0.8750 0.6766 0.7500
5 Cu 0.5000 0.5000 0.0000
6 Cu 0.2500 0.7500 0.5000
7 Br 0.0000 0.0000 0.0000
8 Br 0.7500 0.2500 0.5000

* density of states at the Fermi level: 0.02 states/eV/f.u.
* volume: 101.9 Å³/cell
* symmetry: No. 122
* crystal system: tetragonal

Q) VASP calculation (PBE-GGA) on a relaxed structure of CuH2Br.

Unit cell a=4.1068 b=4.1033 c=6.4061 alpha=90.00 beta=90.00 gamma=119.99
Element x y z (fractional)
1 Cu 0.5647 0.3312 0.0000
2 H 0.6246 0.4447 0.5000
3 H 0.5031 0.2341 0.5000
4 Br 0.8984 0.9979 0.0000

* volume: 93.5 Å³/cell
* symmetry: No. 6
* crystal system: monoclinic

Most favorable first, least favorable last: Q), P)

P) VASP calculation (PBE-GGA) on a relaxed structure of Cu2HBr.

Unit cell a=4.8425 b=4.8425 c=5.9435 alpha=65.96 beta=65.96 gamma=90.00
Element x y z (fractional)
1 H 0.5000 0.5000 0.0000
2 H 0.2500 0.7500 0.5000
3 Cu 0.4865 0.1250 0.2500
4 Cu 0.2635 0.6250 0.2500
5 Cu 0.3750 0.5135 0.7500
6 Cu 0.8750 0.7365 0.7500
7 Br 0.0000 0.0000 0.0000
8 Br 0.7500 0.2500 0.5000

* density of states at the Fermi level: 0.00 states/eV/f.u.
* volume: 113.9 Å³/cell
* symmetry: No. 122
* crystal system: tetragonal

Q) VASP calculation (PBE-GGA) on a relaxed structure of Cu2HBr.

Unit cell a=4.2822 b=4.2822 c=4.2822 alpha=60.00 beta=60.00 gamma=60.00
Element x y z (fractional)
1 H 0.0000 0.0000 0.0000
2 Cu 0.2500 0.2500 0.2500
3 Cu 0.7500 0.7500 0.7500
4 Br 0.5000 0.5000 0.5000

* density of states at the Fermi level: 0.13 states/eV/f.u.
* volume: 55.5 Å³/cell
* symmetry: No. 225
* crystal system: cubic

Most favorable first, least favorable last: P), Q)

P) VASP calculation (PBE-GGA) on a relaxed structure of HfCuBr3.

Unit cell a=5.2593 b=5.2593 c=5.2593 alpha=90.00 beta=90.00 gamma=90.00
Each line ends with the local moment (μB).
Element x y z (fractional)
1 Hf 0.0000 0.0000 0.0000  0.03
2 Cu 0.5000 0.5000 0.5000  0.14
3 Br 0.0000 0.5000 0.0000  0.01
4 Br 0.0000 0.0000 0.5000  0.01
5 Br 0.5000 0.0000 0.0000  0.01

* density of states at the Fermi level: 3.91 states/eV/f.u.
* volume: 145.5 Å³/cell
* symmetry: No. 221
* crystal system: cubic

Q) VASP calculation (PBE-GGA) on a relaxed structure of HfCuBr3.

Unit cell a=4.9738 b=4.9738 c=4.9738 alpha=90.00 beta=90.00 gamma=90.00
Each line ends with the local moment (μB).
Element x y z (fractional)
1 Hf 0.5000 0.5000 0.5000  1.17
2 Cu 0.0000 0.0000 0.0000  -0.01
3 Br 0.0000 0.5000 0.0000  -0.02
4 Br 0.0000 0.0000 0.5000  -0.02
5 Br 0.5000 0.0000 0.0000  -0.02

* density of states at the Fermi level: 5.60 states/eV/f.u.
* volume: 123.0 Å³/cell
* symmetry: No. 221
* crystal system: cubic

Most favorable first, least favorable last: P), Q)

P) VASP calculation (PBE-GGA) on a relaxed structure of Cu2HgBr2.

Unit cell a=5.0822 b=5.0822 c=7.2918 alpha=69.61 beta=69.61 gamma=90.00
Element x y z (fractional)
1 Cu 0.2084 0.2084 0.5833
2 Cu 0.7916 0.7916 0.4167
3 Hg 0.0000 0.0000 0.0000
4 Br 0.7500 0.2500 0.5000
5 Br 0.2500 0.7500 0.5000

* density of states at the Fermi level: 0.18 states/eV/f.u.
* volume: 163.9 Å³/cell
* symmetry: No. 139
* crystal system: tetragonal

Q) VASP calculation (PBE-GGA) on a relaxed structure of Cu2HgBr2.

Unit cell a=4.0769 b=7.0590 c=10.3726 alpha=83.78 beta=101.33 gamma=90.00
Element x y z (fractional)
1 Cu 0.8809 0.1962 0.7618
2 Cu 0.1191 0.8038 0.2382
3 Cu 0.6153 0.2916 0.2307
4 Cu 0.3847 0.7084 0.7693
5 Hg 0.7478 0.2053 0.4955
6 Hg 0.2522 0.7947 0.5045
7 Br 0.9154 0.8587 0.8309
8 Br 0.0846 0.1413 0.1691
9 Br 0.5999 0.6355 0.1999
10 Br 0.4001 0.3645 0.8001

* volume: 290.9 Å³/cell
* symmetry: No. 12
* crystal system: monoclinic

Most favorable first, least favorable last: Q), P)

P) VASP calculation (PBE-GGA) on a relaxed structure of Cu2HgBr2.

Unit cell a=10.2452 b=10.2452 c=4.2717 alpha=90.00 beta=90.00 gamma=90.00
Element x y z (fractional)
1 Cu 0.3054 0.8054 0.5000
2 Cu 0.8054 0.6946 0.5000
3 Cu 0.6946 0.1946 0.5000
4 Cu 0.1946 0.3054 0.5000
5 Hg 0.0000 0.0000 0.0000
6 Hg 0.5000 0.5000 0.0000
7 Br 0.3563 0.8563 0.0000
8 Br 0.8563 0.6437 0.0000
9 Br 0.6437 0.1437 0.0000
10 Br 0.1437 0.3563 0.0000

* density of states at the Fermi level: 0.00 states/eV/f.u.
* volume: 448.4 Å³/cell
* symmetry: No. 127
* crystal system: tetragonal

Q) VASP calculation (PBE-GGA) on a relaxed structure of Cu2HgBr2.

Unit cell a=3.8576 b=3.8576 c=10.0887 alpha=78.98 beta=78.98 gamma=90.00
Element x y z (fractional)
1 Cu 0.7500 0.2500 0.5000
2 Cu 0.2500 0.7500 0.5000
3 Hg 0.0000 0.0000 0.0000
4 Br 0.3340 0.3340 0.3320
5 Br 0.6660 0.6660 0.6680

* density of states at the Fermi level: 0.00 states/eV/f.u.
* volume: 144.5 Å³/cell
* symmetry: No. 139
* crystal system: tetragonal

Most favorable first, least favorable last: Q), P)

P) VASP calculation (PBE-GGA) on a relaxed structure of Cu2Hg2Br7.

Unit cell a=7.2061 b=7.5975 c=7.5975 alpha=92.26 beta=108.00 gamma=108.00
Each line ends with the local moment (μB).
Element x y z (fractional)
1 Cu 0.3983 0.1854 0.1854  0.30
2 Cu 0.6017 0.8146 0.8146  0.30
3 Hg 0.0000 0.3078 0.6922  0.00
4 Hg 0.0000 0.6922 0.3078  0.00
5 Br 0.7812 0.9462 0.6013  0.04
6 Br 0.2188 0.3987 0.0538  0.04
7 Br 0.2188 0.0538 0.3987  0.04
8 Br 0.7812 0.6013 0.9462  0.04
9 Br 0.5000 0.0000 0.0000  0.15
10 Br 0.2883 0.5714 0.5714  0.03
11 Br 0.7117 0.4286 0.4286  0.03

* density of states at the Fermi level: 8.70 states/eV/f.u.
* volume: 372.0 Å³/cell
* symmetry: No. 12
* crystal system: monoclinic

Q) VASP calculation (PBE-GGA) on a relaxed structure of Cu2Hg2Br7.

Unit cell a=8.0874 b=8.0874 c=14.7155 alpha=107.43 beta=107.43 gamma=100.19
Each line ends with the local moment (μB).
Element x y z (fractional)
1 Cu 0.2768 0.0633 0.2300  0.27
2 Cu 0.0633 0.2768 0.7300  0.27
3 Cu 0.9367 0.7232 0.2700  0.27
4 Cu 0.7232 0.9367 0.7700  0.27
5 Hg 0.3782 0.7673 0.4906  0.00
6 Hg 0.2327 0.6218 0.0094  0.00
7 Hg 0.7673 0.3782 0.9906  0.00
8 Hg 0.6218 0.2327 0.5094  0.00
9 Br 0.0299 0.5864 0.3886  0.03
10 Br 0.1310 0.4276 0.1109  0.00
11 Br 0.4801 0.3458 0.3580  0.07
12 Br 0.0031 0.9969 0.2500  0.11
13 Br 0.5864 0.0299 0.8886  0.03
14 Br 0.4276 0.1310 0.6109  0.00
15 Br 0.3458 0.4801 0.8580  0.07
16 Br 0.6542 0.5199 0.1420  0.07
17 Br 0.5724 0.8690 0.3891  0.00
18 Br 0.4136 0.9701 0.1114  0.03
19 Br 0.9969 0.0031 0.7500  0.11
20 Br 0.5199 0.6542 0.6420  0.07
21 Br 0.8690 0.5724 0.8891  0.00
22 Br 0.9701 0.4136 0.6114  0.03

* density of states at the Fermi level: 2.77 states/eV/f.u.
* volume: 837.7 Å³/cell
* symmetry: No. 15
* crystal system: monoclinic

Most favorable first, least favorable last: Q), P)

P) VASP calculation (PBE-GGA) on a relaxed structure of CuHgBr4.

Unit cell a=7.5433 b=7.5433 c=9.7287 alpha=90.00 beta=90.00 gamma=90.00
Each line ends with the local moment (μB).
Element x y z (fractional)
1 Cu 0.0000 0.5000 0.0000  0.38
2 Cu 0.5000 0.0000 0.5000  0.38
3 Hg 0.0000 0.0000 0.5000  -0.01
4 Hg 0.0000 0.0000 0.0000  -0.01
5 Br 0.7247 0.2318 0.5000  0.10
6 Br 0.7682 0.2753 0.0000  0.10
7 Br 0.7247 0.7682 0.5000  0.10
8 Br 0.2318 0.7247 0.0000  0.10
9 Br 0.2753 0.7682 0.5000  0.10
10 Br 0.2318 0.2753 0.0000  0.10
11 Br 0.7682 0.7247 0.0000  0.10
12 Br 0.2753 0.2318 0.5000  0.10

* density of states at the Fermi level: 2.25 states/eV/f.u.
* volume: 553.6 Å³/cell
* symmetry: No. 131
* crystal system: tetragonal

Q) VASP calculation (PBE-GGA) on a relaxed structure of CuHgBr4.

Unit cell a=6.3206 b=6.3206 c=6.3206 alpha=60.00 beta=60.00 gamma=60.00
Each line ends with the local moment (μB).
Element x y z (fractional)
1 Cu 0.7500 0.7500 0.7500  0.00
2 Hg 0.0000 0.0000 0.0000  0.01
3 Br 0.8749 0.3750 0.3750  0.07
4 Br 0.3750 0.3750 0.8749  0.07
5 Br 0.3750 0.8749 0.3750  0.07
6 Br 0.3750 0.3750 0.3750  0.07

* density of states at the Fermi level: 7.91 states/eV/f.u.
* volume: 178.6 Å³/cell
* symmetry: No. 216
* crystal system: cubic

Most favorable first, least favorable last: P), Q)

P) VASP calculation (PBE-GGA) on a relaxed structure of Cu2Hg2Br.

Unit cell a=7.3937 b=7.3937 c=3.7055 alpha=90.00 beta=90.00 gamma=90.00
Element x y z (fractional)
1 Cu 0.3755 0.8755 0.0000
2 Cu 0.8755 0.6245 0.0000
3 Cu 0.6245 0.1245 0.0000
4 Cu 0.1245 0.3755 0.0000
5 Hg 0.1683 0.6683 0.5000
6 Hg 0.6683 0.8317 0.5000
7 Hg 0.8317 0.3317 0.5000
8 Hg 0.3317 0.1683 0.5000
9 Br 0.0000 0.0000 0.0000
10 Br 0.5000 0.5000 0.0000

* density of states at the Fermi level: 2.11 states/eV/f.u.
* volume: 202.6 Å³/cell
* symmetry: No. 127
* crystal system: tetragonal

Q) VASP calculation (PBE-GGA) on a relaxed structure of Cu2Hg2Br.

Unit cell a=3.5724 b=3.5724 c=8.7450 alpha=78.21 beta=78.21 gamma=90.00
Element x y z (fractional)
1 Cu 0.7500 0.2500 0.5000
2 Cu 0.2500 0.7500 0.5000
3 Hg 0.3747 0.3747 0.2507
4 Hg 0.6253 0.6253 0.7493
5 Br 0.0000 0.0000 0.0000

* density of states at the Fermi level: 2.49 states/eV/f.u.
* volume: 106.8 Å³/cell
* symmetry: No. 139
* crystal system: tetragonal

Most favorable first, least favorable last: Q), P)

P) VASP calculation (PBE-GGA) on a relaxed structure of CuHgSeBr.

Unit cell a=4.1298 b=4.1279 c=8.3948 alpha=76.23 beta=75.76 gamma=59.98
Element x y z (fractional)
1 Cu 0.2924 0.5153 0.8999
2 Hg 0.7381 0.9469 0.5769
3 Se 0.6269 0.8495 0.8967
4 Br 0.4718 0.6764 0.3801

* density of states at the Fermi level: 1.02 states/eV/f.u.
* volume: 119.0 Å³/cell
* symmetry: No. 8
* crystal system: monoclinic

Q) VASP calculation (PBE-GGA) on a relaxed structure of CuHgSeBr.

Unit cell a=4.3145 b=9.9714 c=10.2283 alpha=90.00 beta=90.00 gamma=90.00
Element x y z (fractional)
1 Cu 0.0000 0.2165 0.1036
2 Cu 0.0000 0.2165 0.3964
3 Cu 0.0000 0.7835 0.6036
4 Cu 0.0000 0.7835 0.8964
5 Hg 0.5000 0.7898 0.2500
6 Hg 0.5000 0.5000 0.5000
7 Hg 0.5000 0.2102 0.7500
8 Hg 0.5000 0.5000 0.0000
9 Se 0.5000 0.7563 0.4995
10 Se 0.5000 0.2437 0.5005
11 Se 0.5000 0.7563 0.0005
12 Se 0.5000 0.2437 0.9995
13 Br 0.0000 0.9793 0.7500
14 Br 0.0000 0.0207 0.2500
15 Br 0.0000 0.5669 0.7500
16 Br 0.0000 0.4331 0.2500

* volume: 440.0 Å³/cell
* symmetry: No. 51
* crystal system: orthorhombic

Most favorable first, least favorable last: Q), P)

P) VASP calculation (PBE-GGA) on a relaxed structure of CuI2Br.

Unit cell a=5.9597 b=7.7373 c=7.7864 alpha=109.31 beta=97.33 gamma=106.52
Element x y z (fractional)
1 I 0.4849 0.3923 0.0196
2 I 0.2374 0.2774 0.4994
3 I 0.9078 0.3721 0.2666
4 I 0.8244 0.8142 0.7511
5 Cu 0.2808 0.6200 0.2180
6 Cu 0.4656 0.5835 0.8044
7 Br 0.2138 0.7589 0.9765
8 Br 0.5085 0.8911 0.5061

* volume: 315.0 Å³/cell
* symmetry: No. 1
* crystal system: triclinic

Q) VASP calculation (PBE-GGA) on a relaxed structure of CuI2Br.

Unit cell a=4.3660 b=5.9443 c=6.2097 alpha=83.41 beta=88.04 gamma=77.54
Element x y z (fractional)
1 I 0.4605 0.0372 0.3765
2 I 0.8343 0.7369 0.0461
3 Cu 0.0271 0.7900 0.4261
4 Br 0.1275 0.4821 0.7160

* volume: 156.3 Å³/cell
* symmetry: No. 1
* crystal system: triclinic

R) VASP calculation (PBE-GGA) on a relaxed structure of CuI2Br.

Unit cell a=3.9946 b=9.3069 c=7.2564 alpha=90.00 beta=90.00 gamma=90.00
Element x y z (fractional)
1 I 0.0000 0.1740 0.8536
2 I 0.0000 0.8260 0.8536
3 I 0.5000 0.6740 0.3536
4 I 0.5000 0.3260 0.3536
5 Cu 0.0000 0.5000 0.4489
6 Cu 0.5000 0.0000 0.9489
7 Br 0.0000 0.5000 0.7975
8 Br 0.5000 0.0000 0.2975

* density of states at the Fermi level: 1.67 states/eV/f.u.
* volume: 269.8 Å³/cell
* symmetry: No. 44
* crystal system: orthorhombic

S) VASP calculation (PBE-GGA) on a relaxed structure of CuI2Br.

Unit cell a=5.3627 b=5.3627 c=5.3627 alpha=60.00 beta=60.00 gamma=60.00
Element x y z (fractional)
1 I 0.2500 0.2500 0.2500
2 I 0.7500 0.7500 0.7500
3 Cu 0.0000 0.0000 0.0000
4 Br 0.5000 0.5000 0.5000

* density of states at the Fermi level: 6.12 states/eV/f.u.
* volume: 109.1 Å³/cell
* symmetry: No. 225
* crystal system: cubic

Most favorable first, least favorable last: P), Q), R), S)

P) VASP calculation (PBE-GGA) on a relaxed structure of CuI2Br.

Unit cell a=7.2850 b=3.9591 c=11.7455 alpha=90.00 beta=127.15 gamma=90.00
Element x y z (fractional)
1 I 0.1896 0.0000 0.6323
2 I 0.1896 0.5000 0.1323
3 I 0.8270 0.0000 0.3183
4 I 0.8270 0.5000 0.8183
5 Cu 0.5517 0.0000 0.6266
6 Cu 0.5517 0.5000 0.1266
7 Br 0.4915 0.0000 0.9757
8 Br 0.4915 0.5000 0.4757

* density of states at the Fermi level: 1.68 states/eV/f.u.
* volume: 270.0 Å³/cell
* symmetry: No. 8
* crystal system: monoclinic

Q) VASP calculation (PBE-GGA) on a relaxed structure of CuI2Br.

Unit cell a=5.9636 b=6.5454 c=7.6298 alpha=89.98 beta=92.96 gamma=97.65
Element x y z (fractional)
1 I 0.0513 0.9416 0.3498
2 I 0.6889 0.3208 0.3343
3 I 0.3910 0.6468 0.3623
4 I 0.1812 0.2905 0.8358
5 Cu 0.7495 0.8612 0.5771
6 Cu 0.8059 0.2753 0.6612
7 Br 0.5146 0.0073 0.7845
8 Br 0.8314 0.6147 0.8045

* density of states at the Fermi level: 1.69 states/eV/f.u.
* volume: 294.8 Å³/cell
* symmetry: No. 1
* crystal system: triclinic

Most favorable first, least favorable last: Q), P)